Record 1
# PrSn4Pd2Rh, relaxed, DFT GGA-PBE
# DFT formation energy = -0.52 eV per atom
data_PrSn4Pd2Rh
_chemical_formula_sum 'Pr3 Sn12 Pd6 Rh3'
_symmetry_space_group_name_H-M 'R -3 m'
_symmetry_Int_Tables_number 166
_symmetry_space_group_name_Hall '-R 3 2"'
_cell_length_a 4.5933
_cell_length_b 4.5933
_cell_length_c 28.0947
_cell_angle_alpha 90.00
_cell_angle_beta 90.00
_cell_angle_gamma 120.00
loop_
_atom_site_label
_atom_site_fract_x
_atom_site_fract_y
_atom_site_fract_z
_atom_site_occupancy
Pr1 0.0000 0.0000 0.0000 1
Sn1 0.0000 0.0000 0.1306 1
Sn2 0.0000 0.0000 0.3974 1
Pd1 0.0000 0.0000 0.2390 1
Rh1 0.0000 0.0000 0.5000 1

Record 2
# SrPrPdRh, relaxed, DFT GGA-PBE
# DFT formation energy = -0.49 eV per atom
data_SrPrPdRh
_chemical_formula_sum 'Sr4 Pr4 Pd4 Rh4'
_symmetry_space_group_name_H-M 'F -4 3 m'
_symmetry_Int_Tables_number 216
_symmetry_space_group_name_Hall 'F -4 2 3'
_cell_length_a 7.264
_cell_length_b 7.264
_cell_length_c 7.264
_cell_angle_alpha 90.00
_cell_angle_beta 90.00
_cell_angle_gamma 90.00
loop_
_atom_site_label
_atom_site_fract_x
_atom_site_fract_y
_atom_site_fract_z
_atom_site_occupancy
Sr1 0.000 0.000 0.000 1
Pr1 0.000 0.000 0.500 1
Pd1 0.250 0.250 0.250 1
Rh1 0.250 0.250 0.750 1

Record 3
# PrTlPdRh, relaxed, DFT GGA-PBE
# DFT formation energy = -0.46 eV per atom
data_PrTlPdRh
_chemical_formula_sum 'Pr4 Tl4 Pd4 Rh4'
_symmetry_space_group_name_H-M 'F -4 3 m'
_symmetry_Int_Tables_number 216
_symmetry_space_group_name_Hall 'F -4 2 3'
_cell_length_a 6.942
_cell_length_b 6.942
_cell_length_c 6.942
_cell_angle_alpha 90.00
_cell_angle_beta 90.00
_cell_angle_gamma 90.00
loop_
_atom_site_label
_atom_site_fract_x
_atom_site_fract_y
_atom_site_fract_z
_atom_site_occupancy
Pr1 0.000 0.000 0.000 1
Tl1 0.000 0.000 0.500 1
Pd1 0.250 0.250 0.250 1
Rh1 0.250 0.250 0.750 1

Record 4
# PrTmPdRh, relaxed, DFT GGA-PBE
# DFT formation energy = -0.78 eV per atom
data_PrTmPdRh
_chemical_formula_sum 'Pr4 Tm4 Pd4 Rh4'
_symmetry_space_group_name_H-M 'F -4 3 m'
_symmetry_Int_Tables_number 216
_symmetry_space_group_name_Hall 'F -4 2 3'
_cell_length_a 7.040
_cell_length_b 7.040
_cell_length_c 7.040
_cell_angle_alpha 90.00
_cell_angle_beta 90.00
_cell_angle_gamma 90.00
loop_
_atom_site_label
_atom_site_fract_x
_atom_site_fract_y
_atom_site_fract_z
_atom_site_occupancy
Pr1 0.000 0.000 0.000 1
Tm1 0.000 0.000 0.500 1
Pd1 0.250 0.250 0.250 1
Rh1 0.250 0.250 0.750 1

Record 5
# Pr2Zn5Pd2Rh, relaxed, DFT GGA-PBE
# DFT formation energy = -0.42 eV per atom
data_Pr2Zn5Pd2Rh
_chemical_formula_sum 'Pr4 Zn10 Pd4 Rh2'
_symmetry_space_group_name_H-M 'P 4/m b m'
_symmetry_Int_Tables_number 127
_symmetry_space_group_name_Hall '-P 4 2ab'
_cell_length_a 10.027
_cell_length_b 10.027
_cell_length_c 3.740
_cell_angle_alpha 90.00
_cell_angle_beta 90.00
_cell_angle_gamma 90.00
loop_
_atom_site_label
_atom_site_fract_x
_atom_site_fract_y
_atom_site_fract_z
_atom_site_occupancy
Pr1 0.181 0.319 0.000 1
Zn1 0.000 0.500 0.500 1
Zn2 0.050 0.815 0.500 1
Pd1 0.120 0.620 0.000 1
Rh1 0.000 0.000 0.000 1

Record 6
# PrZn5PdRh2, relaxed, DFT GGA-PBE
# DFT formation energy = -0.17 eV per atom
data_PrZn5PdRh2
_chemical_formula_sum 'Pr1 Zn5 Pd1 Rh2'
_symmetry_space_group_name_H-M 'P 4/m m m'
_symmetry_Int_Tables_number 123
_symmetry_space_group_name_Hall '-P 4 2'
_cell_length_a 4.791
_cell_length_b 4.791
_cell_length_c 7.313
_cell_angle_alpha 90.00
_cell_angle_beta 90.00
_cell_angle_gamma 90.00
loop_
_atom_site_label
_atom_site_fract_x
_atom_site_fract_y
_atom_site_fract_z
_atom_site_occupancy
Pr1 0.000 0.000 0.000 1
Zn1 0.000 0.500 0.306 1
Zn2 0.500 0.500 0.000 1
Pd1 0.000 0.000 0.500 1
Rh1 0.500 0.500 0.327 1

Record 7
# PrZnPdRh, relaxed, DFT GGA-PBE
# DFT formation energy = -0.51 eV per atom
data_PrZnPdRh
_chemical_formula_sum 'Pr4 Zn4 Pd4 Rh4'
_symmetry_space_group_name_H-M 'F -4 3 m'
_symmetry_Int_Tables_number 216
_symmetry_space_group_name_Hall 'F -4 2 3'
_cell_length_a 6.709
_cell_length_b 6.709
_cell_length_c 6.709
_cell_angle_alpha 90.00
_cell_angle_beta 90.00
_cell_angle_gamma 90.00
loop_
_atom_site_label
_atom_site_fract_x
_atom_site_fract_y
_atom_site_fract_z
_atom_site_occupancy
Pr1 0.000 0.000 0.000 1
Zn1 0.000 0.000 0.500 1
Pd1 0.250 0.250 0.750 1
Rh1 0.250 0.250 0.250 1

Record 8
# PrZrPdRh, relaxed, DFT GGA-PBE
# DFT formation energy = -0.54 eV per atom
data_PrZrPdRh
_chemical_formula_sum 'Pr4 Zr4 Pd4 Rh4'
_symmetry_space_group_name_H-M 'F -4 3 m'
_symmetry_Int_Tables_number 216
_symmetry_space_group_name_Hall 'F -4 2 3'
_cell_length_a 6.927
_cell_length_b 6.927
_cell_length_c 6.927
_cell_angle_alpha 90.00
_cell_angle_beta 90.00
_cell_angle_gamma 90.00
loop_
_atom_site_label
_atom_site_fract_x
_atom_site_fract_y
_atom_site_fract_z
_atom_site_occupancy
Pr1 0.000 0.000 0.000 1
Zr1 0.000 0.000 0.500 1
Pd1 0.250 0.250 0.250 1
Rh1 0.250 0.250 0.750 1

Record 9
# Pr6PdRu2, relaxed, DFT GGA-PBE
# ΔE to the lowest computed polymorph = 0.468 eV/f.u.
# DFT formation energy = -0.22 eV per atom
data_Pr6PdRu2
_chemical_formula_sum 'Pr12 Pd2 Ru4'
_symmetry_space_group_name_H-M 'C 1 2/m 1'
_symmetry_Int_Tables_number 12
_symmetry_space_group_name_Hall '-C 2y'
_cell_length_a 8.983
_cell_length_b 5.178
_cell_length_c 11.473
_cell_angle_alpha 90.00
_cell_angle_beta 90.05
_cell_angle_gamma 90.00
loop_
_atom_site_label
_atom_site_fract_x
_atom_site_fract_y
_atom_site_fract_z
_atom_site_occupancy
Pr1 0.000 0.000 0.237 1
Pr2 0.167 0.500 0.082 1
Pr3 0.167 0.500 0.589 1
Pd1 0.000 0.000 0.500 1
Ru1 0.167 0.500 0.831 1

Record 10
# Pr6PdRu2, relaxed, DFT GGA-PBE
# ΔE to the lowest computed polymorph = 0.000 eV/f.u.
# DFT formation energy = -0.27 eV per atom
data_Pr6PdRu2
_chemical_formula_sum 'Pr24 Pd4 Ru8'
_symmetry_space_group_name_H-M 'I m m m'
_symmetry_Int_Tables_number 71
_symmetry_space_group_name_Hall '-I 2 2'
_cell_length_a 9.850
_cell_length_b 9.873
_cell_length_c 10.366
_cell_angle_alpha 90.00
_cell_angle_beta 90.00
_cell_angle_gamma 90.00
loop_
_atom_site_label
_atom_site_fract_x
_atom_site_fract_y
_atom_site_fract_z
_atom_site_occupancy
Pr1 0.000 0.188 0.242 1
Pr2 0.184 0.500 0.171 1
Pr3 0.223 0.320 0.500 1
Pd1 0.000 0.000 0.000 1
Pd2 0.000 0.000 0.500 1
Ru1 0.000 0.322 0.000 1
Ru2 0.000 0.500 0.378 1

Record 11
# Pr8PdRu2, relaxed, DFT GGA-PBE
# DFT formation energy = -0.15 eV per atom
data_Pr8PdRu2
_chemical_formula_sum 'Pr16 Pd2 Ru4'
_symmetry_space_group_name_H-M 'C 1 2/m 1'
_symmetry_Int_Tables_number 12
_symmetry_space_group_name_Hall '-C 2y'
_cell_length_a 8.538
_cell_length_b 13.250
_cell_length_c 6.164
_cell_angle_alpha 90.00
_cell_angle_beta 109.27
_cell_angle_gamma 90.00
loop_
_atom_site_label
_atom_site_fract_x
_atom_site_fract_y
_atom_site_fract_z
_atom_site_occupancy
Pr1 0.000 0.223 0.000 1
Pr2 0.130 0.500 0.813 1
Pr3 0.210 0.128 0.585 1
Pd1 0.000 0.000 0.000 1
Ru1 0.000 0.301 0.500 1

Record 12
# Pr5PdRu2, relaxed, DFT GGA-PBE
# DFT formation energy = -0.32 eV per atom
data_Pr5PdRu2
_chemical_formula_sum 'Pr20 Pd4 Ru8'
_symmetry_space_group_name_H-M 'I 4/m c m'
_symmetry_Int_Tables_number 140
_symmetry_space_group_name_Hall '-I 4 2c'
_cell_length_a 7.861
_cell_length_b 7.861
_cell_length_c 13.820
_cell_angle_alpha 90.00
_cell_angle_beta 90.00
_cell_angle_gamma 90.00
loop_
_atom_site_label
_atom_site_fract_x
_atom_site_fract_y
_atom_site_fract_z
_atom_site_occupancy
Pr1 0.000 0.000 0.000 1
Pr2 0.165 0.335 0.138 1
Pd1 0.000 0.000 0.250 1
Ru1 0.137 0.363 0.500 1

Record 13
# Pr4PdRu, relaxed, DFT GGA-PBE
# ΔE to the lowest computed polymorph = 0.000 eV/f.u.
# DFT formation energy = -0.31 eV per atom
data_Pr4PdRu
_chemical_formula_sum 'Pr8 Pd2 Ru2'
_symmetry_space_group_name_H-M 'P 4/m c c'
_symmetry_Int_Tables_number 124
_symmetry_space_group_name_Hall '-P 4 2c'
_cell_length_a 7.157
_cell_length_b 7.157
_cell_length_c 6.606
_cell_angle_alpha 90.00
_cell_angle_beta 90.00
_cell_angle_gamma 90.00
loop_
_atom_site_label
_atom_site_fract_x
_atom_site_fract_y
_atom_site_fract_z
_atom_site_occupancy
Pr1 0.173 0.311 0.000 1
Pd1 0.500 0.500 0.250 1
Ru1 0.000 0.000 0.250 1

Record 14
# Pr4PdRu, relaxed, DFT GGA-PBE
# ΔE to the lowest computed polymorph = 0.175 eV/f.u.
# DFT formation energy = -0.28 eV per atom
data_Pr4PdRu
_chemical_formula_sum 'Pr16 Pd4 Ru4'
_symmetry_space_group_name_H-M 'C 1 2/c 1'
_symmetry_Int_Tables_number 15
_symmetry_space_group_name_Hall '-C 2yc'
_cell_length_a 8.982
_cell_length_b 14.857
_cell_length_c 6.998
_cell_angle_alpha 90.00
_cell_angle_beta 127.25
_cell_angle_gamma 90.00
loop_
_atom_site_label
_atom_site_fract_x
_atom_site_fract_y
_atom_site_fract_z
_atom_site_occupancy
Pr1 0.172 0.208 0.165 1
Pr2 0.245 0.456 0.255 1
Pd1 0.000 0.385 0.750 1
Ru1 0.000 0.080 0.250 1

Record 15
# Pr4Pd3Ru, relaxed, DFT GGA-PBE
# DFT formation energy = -0.60 eV per atom
data_Pr4Pd3Ru
_chemical_formula_sum 'Pr4 Pd3 Ru1'
_symmetry_space_group_name_H-M 'P m m 2'
_symmetry_Int_Tables_number 25
_symmetry_space_group_name_Hall 'P 2 -2'
_cell_length_a 3.912
_cell_length_b 4.619
_cell_length_c 10.908
_cell_angle_alpha 90.00
_cell_angle_beta 90.00
_cell_angle_gamma 90.00
loop_
_atom_site_label
_atom_site_fract_x
_atom_site_fract_y
_atom_site_fract_z
_atom_site_occupancy
Pr1 0.000 0.000 0.000 1
Pr2 0.000 0.500 0.264 1
Pr3 0.500 0.000 0.477 1
Pr4 0.500 0.500 0.763 1
Pd1 0.000 0.000 0.711 1
Pd2 0.000 0.500 0.547 1
Pd3 0.500 0.500 0.040 1
Ru1 0.500 0.000 0.217 1

Record 16
# Pr6Pd2Ru, relaxed, DFT GGA-PBE
# DFT formation energy = -0.39 eV per atom
data_Pr6Pd2Ru
_chemical_formula_sum 'Pr12 Pd4 Ru2'
_symmetry_space_group_name_H-M 'P 1 21/c 1'
_symmetry_Int_Tables_number 14
_symmetry_space_group_name_Hall '-P 2ybc'
_cell_length_a 6.785
_cell_length_b 7.630
_cell_length_c 12.254
_cell_angle_alpha 90.00
_cell_angle_beta 120.90
_cell_angle_gamma 90.00
loop_
_atom_site_label
_atom_site_fract_x
_atom_site_fract_y
_atom_site_fract_z
_atom_site_occupancy
Pr1 0.097 0.041 0.250 1
Pr2 0.240 0.678 0.070 1
Pr3 0.403 0.182 0.068 1
Pd1 0.325 0.116 0.763 1
Ru1 0.000 0.000 0.000 1

Record 17
# Pr3Pd2Ru, relaxed, DFT GGA-PBE
# DFT formation energy = -0.52 eV per atom
data_Pr3Pd2Ru
_chemical_formula_sum 'Pr12 Pd8 Ru4'
_symmetry_space_group_name_H-M 'C m m m'
_symmetry_Int_Tables_number 65
_symmetry_space_group_name_Hall '-C 2 2'
_cell_length_a 5.096
_cell_length_b 15.199
_cell_length_c 7.309
_cell_angle_alpha 90.00
_cell_angle_beta 90.00
_cell_angle_gamma 90.00
loop_
_atom_site_label
_atom_site_fract_x
_atom_site_fract_y
_atom_site_fract_z
_atom_site_occupancy
Pr1 0.000 0.000 0.243 1
Pr2 0.000 0.331 0.241 1
Pd1 0.000 0.166 0.500 1
Pd2 0.000 0.500 0.000 1
Pd3 0.000 0.500 0.500 1
Ru1 0.000 0.166 0.000 1

Record 18
# Pr2PdRu, relaxed, DFT GGA-PBE
# DFT formation energy = -0.43 eV per atom
data_Pr2PdRu
_chemical_formula_sum 'Pr2 Pd1 Ru1'
_symmetry_space_group_name_H-M 'P 4/m m m'
_symmetry_Int_Tables_number 123
_symmetry_space_group_name_Hall '-P 4 2'
_cell_length_a 3.546
_cell_length_b 3.546
_cell_length_c 7.392
_cell_angle_alpha 90.00
_cell_angle_beta 90.00
_cell_angle_gamma 90.00
loop_
_atom_site_label
_atom_site_fract_x
_atom_site_fract_y
_atom_site_fract_z
_atom_site_occupancy
Pr1 0.000 0.000 0.240 1
Pd1 0.500 0.500 0.500 1
Ru1 0.500 0.500 0.000 1

Record 19
# Pr8Pd5Ru, relaxed, DFT GGA-PBE
# DFT formation energy = -0.56 eV per atom
data_Pr8Pd5Ru
_chemical_formula_sum 'Pr16 Pd10 Ru2'
_symmetry_space_group_name_H-M 'I -4'
_symmetry_Int_Tables_number 82
_symmetry_space_group_name_Hall 'I -4'
_cell_length_a 9.064
_cell_length_b 9.064
_cell_length_c 9.153
_cell_angle_alpha 90.00
_cell_angle_beta 90.00
_cell_angle_gamma 90.00
loop_
_atom_site_label
_atom_site_fract_x
_atom_site_fract_y
_atom_site_fract_z
_atom_site_occupancy
Pr1 0.058 0.200 0.314 1
Pr2 0.058 0.312 0.940 1
Pd1 0.000 0.000 0.000 1
Pd2 0.122 0.251 0.628 1
Ru1 0.000 0.500 0.250 1

Record 20
# Pr8Pd2Ru3, relaxed, DFT GGA-PBE
# DFT formation energy = -0.29 eV per atom
data_Pr8Pd2Ru3
_chemical_formula_sum 'Pr8 Pd2 Ru3'
_symmetry_space_group_name_H-M 'P 1 2/m 1'
_symmetry_Int_Tables_number 10
_symmetry_space_group_name_Hall '-P 2y'
_cell_length_a 8.771
_cell_length_b 5.017
_cell_length_c 8.785
_cell_angle_alpha 90.00
_cell_angle_beta 109.87
_cell_angle_gamma 90.00
loop_
_atom_site_label
_atom_site_fract_x
_atom_site_fract_y
_atom_site_fract_z
_atom_site_occupancy
Pr1 0.118 0.000 0.383 1
Pr2 0.133 0.500 0.870 1
Pr3 0.371 0.500 0.634 1
Pr4 0.379 0.000 0.120 1
Pd1 0.248 0.500 0.251 1
Ru1 0.251 0.000 0.751 1
Ru2 0.500 0.500 0.000 1